# TaCrCd2

An optimized crystal structure of TaCrCd2 (PBEsol, the Alexandria database).

It has space group P4/mmm (No. 123), with a = 2.7575 Å, b = 2.7575 Å, c = 8.7843 Å, α = 90.00°, β = 90.00° and γ = 90.00°. Symmetry generates all atoms from Ta at (0.0000, 0.0000, 0.0000), Cr at (0.0000, 0.0000, 0.5000) and Cd at (0.5000, 0.5000, 0.2652).

The calculation puts the total energy at -5.78 eV per atom.